(1)
This record from Alexandria describes a geometry-optimized PmHPd3 structure. The functional is GGA-PBE.

DOS(E_F) (states/eV/atom): 0.146
Total DFT energy (no corrections) (eV/atom): -5.3880
Symmetry: R3m (160)
ΔE to the lowest computed polymorph (meV per atom): 0.0

Cell lengths 6.055, 6.056, 6.056 Å; angles 120.83, 120.83, 59.17 degrees
Positions (direct):
1 Pm 0.493 0.627 0.908
2 Pm 0.993 0.127 0.408
3 H 0.666 0.800 0.736
4 H 0.165 0.300 0.236
5 Pd 0.985 0.639 0.416
6 Pd 0.505 0.120 0.416
7 Pd 0.985 0.120 0.896
8 Pd 0.485 0.619 0.396
9 Pd 0.485 0.139 0.916
10 Pd 0.005 0.619 0.916

***

(2)
This record from Alexandria describes a geometry-optimized Al2HgSe structure. The functional is GGA-PBE.

DOS(E_F) (states/eV/atom): 1.015
Total DFT energy (no corrections) (eV/atom): -2.4938
Symmetry: F-43m (216)

Cell lengths 4.998, 4.998, 4.998 Å; angles 60.00, 60.00, 60.00 degrees
Positions (direct):
1 Hg 0.500 0.500 0.500
2 Se 0.750 0.750 0.750
3 Al 0.000 0.000 0.000
4 Al 0.250 0.250 0.250

***

(3)
This record from Alexandria describes a geometry-optimized Sc2CuAu2 structure. The functional is GGA-PBE.

DOS(E_F) (states/eV/atom): 0.649
Total DFT energy (no corrections) (eV/atom): -5.1939
Symmetry: Ibam (72)
ΔE to the lowest computed polymorph (meV per atom): 0.0
ΔH_f (0 K) (eV/atom): -0.531

Cell lengths 5.191, 5.966, 7.265 Å; angles 114.24, 110.93, 90.00 degrees
Positions (direct):
1 Sc 0.333 0.538 0.666
2 Sc 0.667 0.462 0.334
3 Sc 0.167 0.872 0.334
4 Sc 0.833 0.128 0.666
5 Cu 0.750 0.500 0.000
6 Cu 0.250 0.500 0.000
7 Au 0.899 0.737 0.798
8 Au 0.101 0.263 0.202
9 Au 0.601 0.939 0.202
10 Au 0.399 0.061 0.798

***

(4)
This record from Alexandria describes a geometry-optimized BeAlSi2 structure. The functional is GGA-PBE.

DOS(E_F) (states/eV/atom): 0.348
Total DFT energy (no corrections) (eV/atom): -4.2286
Symmetry: I4/mmm (139)
ΔE to the lowest computed polymorph (meV per atom): 36.8

Cell lengths 4.578, 4.578, 4.578 Å; angles 131.27, 131.27, 71.39 degrees
Positions (direct):
1 Be 0.750 0.250 0.500
2 Si 0.000 0.000 0.000
3 Si 0.500 0.500 0.000
4 Al 0.250 0.750 0.500

***

- Which value of total DFT energy (no corrections) does entry 3 give?
  -5.1939 eV/atom

***

- Among the records above, which one has the highest DOS(E_F)?
  Al2HgSe

***

- Which of these has the highest total DFT energy (no corrections)?
  Al2HgSe

***

- Which value of DOS(E_F) does entry 3 give?
  0.649 states/eV/atom